1.
This record from Alexandria via LeMat-Bulk describes an optimized crystal structure of CoSiGe3. The functional is GGA-PBE.

Output
Energy above the most stable polymorph in this dataset = 3.232 eV/f.u.
Symmetry = No. 221
Raw formation energy = 103.0 kJ per mole of atoms

abc: 4.7250 4.7250 4.7250
angles: 90.00 90.00 90.00
Sites, in units of the cell vectors:
Co 0.0000 0.0000 0.0000
Si 0.5000 0.5000 0.5000
Ge 0.0000 0.5000 0.5000
Ge 0.5000 0.0000 0.5000
Ge 0.5000 0.5000 0.0000

=====

2.
This record from Alexandria via LeMat-Bulk describes an optimized crystal structure of SrBe2Se. The functional is GGA-PBE.

Output
Symmetry = No. 6
Raw formation energy = -9.5 kJ per mole of atoms

abc: 3.8728 3.7558 5.9725
angles: 90.00 90.06 90.00
Sites, in units of the cell vectors:
Sr 0.0000 0.0000 0.0000
Be 0.4979 0.5000 0.7078
Be 0.5014 0.0000 0.5452
Se 0.5006 0.5000 0.3207

=====

3.
This record from Alexandria via LeMat-Bulk describes an optimized crystal structure of PmPa2Ru. The functional is GGA-PBE.

Output
Energy above the most stable polymorph in this dataset = 0.000 eV/f.u.
Energy relative to the elements = -0.0519 eV/atom
Symmetry = No. 123

abc: 3.5771 3.5771 7.8028
angles: 90.00 90.00 90.00
Sites, in units of the cell vectors:
Pm 0.0000 0.0000 0.0000
Pa 0.5000 0.5000 0.3133
Pa 0.5000 0.5000 0.6867
Ru 0.0000 0.0000 0.5000

=====

4.
This record from Alexandria via LeMat-Bulk describes an optimized crystal structure of Ca3TmTl2. The functional is GGA-PBE.

Output
Energy relative to the elements = -0.3084 eV/atom
Symmetry = No. 26

abc: 5.3034 9.7874 7.0892
angles: 90.00 90.00 90.00
Sites, in units of the cell vectors:
Ca 0.0000 0.0506 0.0000
Ca 0.0000 0.3174 0.3586
Ca 0.0000 0.6826 0.8586
Ca 0.0000 0.9494 0.5000
Ca 0.5000 0.1819 0.7056
Ca 0.5000 0.8181 0.2056
Tm 0.5000 0.4510 0.0589
Tm 0.5000 0.5490 0.5589
Tl 0.0000 0.3653 0.8154
Tl 0.0000 0.6347 0.3154
Tl 0.5000 0.1505 0.2448
Tl 0.5000 0.8495 0.7448

=====

no.,total energy (eV/atom)
1,-4.2082
2,-3.2536
3,-8.3064
4,-2.8432